Entry 1:
# ErGa4Ni2, relaxed, DFT PBE-GGA
data_ErGa4Ni2
_chemical_formula_sum 'Er2 Ga8 Ni4'
_cell_length_a 7.605
_cell_length_b 7.605
_cell_length_c 3.930
_cell_angle_alpha 90.00
_cell_angle_beta 90.00
_cell_angle_gamma 90.00
_symmetry_space_group_name_H-M 'P 42/m n m'
_symmetry_Int_Tables_number 136
_symmetry_space_group_name_Hall '-P 4n 2n'
loop_
_atom_site_label
_atom_site_fract_x
_atom_site_fract_y
_atom_site_fract_z
_atom_site_occupancy
Er1 0.000 0.000 0.000 1
Ga1 0.079 0.320 0.500 1
Ni1 0.221 0.779 0.500 1
# Uncorrected energy: -4.4615 eV per atom
# D(E_F): 0.386 states/eV per atom


Entry 2:
# LaCeTm2Bi4, relaxed, DFT PBE-GGA
data_LaCeTm2Bi4
_chemical_formula_sum 'La1 Ce1 Tm2 Bi4'
_cell_length_a 7.842
_cell_length_b 4.557
_cell_length_c 7.894
_cell_angle_alpha 90.00
_cell_angle_beta 109.58
_cell_angle_gamma 90.00
_symmetry_space_group_name_H-M 'P 1 2/m 1'
_symmetry_Int_Tables_number 10
loop_
_symmetry_equiv_pos_as_xyz
'x,y,z'
'-x,-y,-z'
'-x,y,-z'
'x,-y,z'
loop_
_atom_site_label
_atom_site_fract_x
_atom_site_fract_y
_atom_site_fract_z
_atom_site_occupancy
La1 0.000 0.000 0.000 1
Ce1 0.000 0.500 0.500 1
Tm1 0.500 0.000 0.500 1
Tm2 0.500 0.500 0.000 1
Bi1 0.262 0.000 0.751 1
Bi2 0.264 0.500 0.258 1
# Uncorrected energy: -5.2667 eV per atom
# D(E_F): 0.860 states/eV per atom


Entry 3:
# KMn2SnMo, relaxed, DFT PBE-GGA
data_KMn2SnMo
_chemical_formula_sum 'K1 Mn2 Sn1 Mo1'
_cell_length_a 4.781
_cell_length_b 4.781
_cell_length_c 5.803
_cell_angle_alpha 90.00
_cell_angle_beta 90.00
_cell_angle_gamma 90.00
_symmetry_space_group_name_H-M 'P 4/m m m'
_symmetry_Int_Tables_number 123
_symmetry_space_group_name_Hall '-P 4 2'
loop_
_atom_site_label
_atom_site_fract_x
_atom_site_fract_y
_atom_site_fract_z
_atom_site_occupancy
K1 0.000 0.000 0.000 1
Mn1 0.000 0.500 0.500 1
Sn1 0.500 0.500 0.000 1
Mo1 0.000 0.000 0.500 1
# Uncorrected energy: -5.4957 eV per atom
# D(E_F): 1.160 states/eV per atom


Entry 4:
# LiNi2W, relaxed, DFT PBE-GGA
data_LiNi2W
_chemical_formula_sum 'Li2 Ni4 W2'
_cell_length_a 5.582
_cell_length_b 6.942
_cell_length_c 2.618
_cell_angle_alpha 90.00
_cell_angle_beta 90.00
_cell_angle_gamma 90.00
_symmetry_space_group_name_H-M 'C m m m'
_symmetry_Int_Tables_number 65
_symmetry_space_group_name_Hall '-C 2 2'
loop_
_atom_site_label
_atom_site_fract_x
_atom_site_fract_y
_atom_site_fract_z
_atom_site_occupancy
Li1 0.000 0.000 0.000 1
Ni1 0.250 0.250 0.500 1
W1 0.000 0.500 0.000 1
# Uncorrected energy: -6.5336 eV per atom
# D(E_F): 0.861 states/eV per atom


Entry 5:
# La2In6PdRu, relaxed, DFT PBE-GGA
data_La2In6PdRu
_chemical_formula_sum 'La2 In6 Pd1 Ru1'
_cell_length_a 6.908
_cell_length_b 6.914
_cell_length_c 7.574
_cell_angle_alpha 63.37
_cell_angle_beta 63.34
_cell_angle_gamma 60.54
_symmetry_space_group_name_H-M 'P -1'
_symmetry_Int_Tables_number 2
loop_
_symmetry_equiv_pos_as_xyz
'x,y,z'
'-x,-y,-z'
loop_
_atom_site_label
_atom_site_fract_x
_atom_site_fract_y
_atom_site_fract_z
_atom_site_occupancy
La1 0.214 0.212 0.353 1
In1 0.252 0.252 0.791 1
In2 0.256 0.706 0.791 1
In3 0.292 0.744 0.211 1
Pd1 0.000 0.000 0.000 1
Ru1 0.500 0.500 0.500 1
# Uncorrected energy: -4.3284 eV per atom
# D(E_F): 0.592 states/eV per atom


Entry 6:
# LiTc2BiH, relaxed, DFT PBE-GGA
data_LiTc2BiH
_chemical_formula_sum 'Li1 Tc2 Bi1 H1'
_cell_length_a 4.316
_cell_length_b 4.316
_cell_length_c 4.607
_cell_angle_alpha 90.00
_cell_angle_beta 90.00
_cell_angle_gamma 90.00
_symmetry_space_group_name_H-M 'P 4/m m m'
_symmetry_Int_Tables_number 123
_symmetry_space_group_name_Hall '-P 4 2'
loop_
_atom_site_label
_atom_site_fract_x
_atom_site_fract_y
_atom_site_fract_z
_atom_site_occupancy
Li1 0.000 0.000 0.000 1
Tc1 0.000 0.500 0.000 1
Bi1 0.000 0.000 0.500 1
H1 0.500 0.500 0.500 1
# Uncorrected energy: -4.2512 eV per atom
# D(E_F): 1.103 states/eV per atom